Here is a relaxed structure of Pr6SmDy3Er2 from Alexandria. Energies are from PBE.

abc: 6.309 6.309 11.902
angles: 95.05 95.05 120.00
Fractional positions:
Pr 0.916 0.582 0.750
Pr 0.250 0.250 0.750
Pr 0.750 0.750 0.250
Pr 0.582 0.916 0.750
Pr 0.084 0.418 0.250
Pr 0.418 0.084 0.250
Er 0.666 0.334 0.000
Er 0.334 0.666 0.000
Dy 0.833 0.167 0.500
Dy 0.167 0.833 0.500
Dy 0.500 0.500 0.500
Sm 0.000 0.000 0.000

Properties
SG ... C2/m (12)
DFT formation energy ... 1.2 kJ/mol of atoms
Total moment ... 0.000 μB per atom

Here is a relaxed structure of As2PtRh from Alexandria. Energies are from PBE.

abc: 4.465 4.465 3.215
angles: 90.00 90.00 90.00
Fractional positions:
Pt 0.500 0.000 0.500
As 0.500 0.500 0.000
As 0.000 0.000 0.000
Rh 0.000 0.500 0.500

Properties
SG ... P4/mmm (123)
DFT formation energy ... -7.3 kJ/mol of atoms
Total moment ... 0.000 μB per atom
E above lowest polymorph ... 74 kJ/mol of formula units